Record 1
Density functional theory data (GGA-PBE) for a relaxed KTi2MnFe crystal.

Computed properties:
theoretical density = 4.05 Mg/m³
E_tot = -30.4 eV/cell
total magnetic moment = 2.2 μB per formula unit

Cell and atoms, written as CIF:
```
data_KTi2MnFe
_chemical_formula_sum 'K1 Ti2 Mn1 Fe1'
_cell_length_a 4.5761
_cell_length_b 4.5761
_cell_length_c 4.8032
_cell_angle_alpha 90.00
_cell_angle_beta 90.00
_cell_angle_gamma 90.00
_space_group_name_H-M_alt 'P 4/m m m'
_space_group_IT_number 123
_space_group_name_Hall '-P 4 2'
loop_
_atom_site_label
_atom_site_fract_x
_atom_site_fract_y
_atom_site_fract_z
K1 0.0000 0.0000 0.0000
Ti1 0.0000 0.5000 0.5000
Mn1 0.5000 0.5000 0.5000
Fe1 0.5000 0.5000 0.0000
```

***

Record 2
Density functional theory data (GGA-PBE) for a relaxed ErBe2SiNi2 crystal.

Computed properties:
theoretical density = 6.39 Mg/m³
formation energy without anion corrections = 0.097 eV per atom
total magnetic moment = 0.0 μB per formula unit

Cell and atoms, written as CIF:
```
data_ErBe2SiNi2
_chemical_formula_sum 'Er1 Be2 Si1 Ni2'
_cell_length_a 4.0131
_cell_length_b 4.0131
_cell_length_c 5.3334
_cell_angle_alpha 90.00
_cell_angle_beta 90.00
_cell_angle_gamma 90.00
_space_group_name_H-M_alt 'P 4/m m m'
_space_group_IT_number 123
_space_group_name_Hall '-P 4 2'
loop_
_atom_site_label
_atom_site_fract_x
_atom_site_fract_y
_atom_site_fract_z
Er1 0.0000 0.0000 0.0000
Be1 0.0000 0.5000 0.5000
Si1 0.0000 0.0000 0.5000
Ni1 0.5000 0.5000 0.2545
```

***

Record 3
Density functional theory data (GGA-PBE) for a relaxed Li2VCrCl crystal.

Computed properties:
theoretical density = 2.16 Mg/m³
formation energy without anion corrections = 0.808 eV per atom
total magnetic moment = 0.0 μB per formula unit

Cell and atoms, written as CIF:
```
data_Li2VCrCl
_chemical_formula_sum 'Li2 V1 Cr1 Cl1'
_cell_length_a 5.1401
_cell_length_b 5.1401
_cell_length_c 4.4318
_cell_angle_alpha 90.00
_cell_angle_beta 90.00
_cell_angle_gamma 90.00
_space_group_name_H-M_alt 'P 4/m m m'
_space_group_IT_number 123
_space_group_name_Hall '-P 4 2'
loop_
_atom_site_label
_atom_site_fract_x
_atom_site_fract_y
_atom_site_fract_z
Li1 0.0000 0.5000 0.0000
V1 0.0000 0.0000 0.5000
Cr1 0.5000 0.5000 0.0000
Cl1 0.5000 0.5000 0.5000
```

***

Record 4
Density functional theory data (GGA-PBE) for a relaxed K2TeOs crystal.

Computed properties:
theoretical density = 6.30 Mg/m³
formation energy without anion corrections = 0.828 eV per atom
total magnetic moment = 2.1 μB per formula unit

Cell and atoms, written as CIF:
```
data_K2TeOs
_chemical_formula_sum 'K8 Te4 Os4'
_cell_length_a 7.4755
_cell_length_b 7.4755
_cell_length_c 7.4755
_cell_angle_alpha 90.00
_cell_angle_beta 90.00
_cell_angle_gamma 90.00
_space_group_name_H-M_alt 'F -4 3 m'
_space_group_IT_number 216
_space_group_name_Hall 'F -4 2 3'
loop_
_atom_site_label
_atom_site_fract_x
_atom_site_fract_y
_atom_site_fract_z
K1 0.0000 0.0000 0.0000
K2 0.2500 0.2500 0.2500
Te1 0.2500 0.2500 0.7500
Os1 0.0000 0.0000 0.5000
```

***

> Which of these has the highest theoretical density?

ErBe2SiNi2

***

> Number 1 is which compound?

KTi2MnFe